# 1
Density functional theory data (PBE-GGA) for Ho2NiRh after structural relaxation.

a b c (Å): 3.3828 3.3828 6.8020
angles (deg): 90.00 90.00 90.00
Closest atoms and distances in Å follow each position.
Atoms (fractional coordinates):
Ho (0.0000, 0.0000, 0.2490)  4 Ni 2.93, 4 Rh 2.94
Ho (0.0000, 0.0000, 0.7510)  4 Ni 2.93, 4 Rh 2.94
Ni (0.5000, 0.5000, 0.0000)  8 Ho 2.93
Rh (0.5000, 0.5000, 0.5000)  8 Ho 2.94

Summary:
formation energy = -2.63 eV per formula unit
magnetic moment = 0.00 μB per cell

# 2
Density functional theory data (PBE-GGA) for Co2TcRh after structural relaxation.

a b c (Å): 8.5610 8.5610 8.5610
angles (deg): 17.80 17.80 17.80
Closest atoms and distances in Å follow each position.
Atoms (fractional coordinates):
Co (0.2494, 0.2494, 0.2494)  3 Tc 2.59, 3 Rh 2.61, 6 Co 2.65
Co (0.7506, 0.7506, 0.7506)  3 Tc 2.59, 3 Rh 2.61, 6 Co 2.65
Tc (0.5000, 0.5000, 0.5000)  6 Co 2.59, 6 Tc 2.65
Rh (0.0000, 0.0000, 0.0000)  6 Co 2.61, 6 Rh 2.65

Summary:
formation energy = 0.55 eV per formula unit
E above lowest polymorph = 9.88 kJ per mole of atoms
magnetic moment = 3.07 μB per cell

# 3
Density functional theory data (PBE-GGA) for SmHoGe after structural relaxation.

a b c (Å): 4.9274 4.9274 4.9274
angles (deg): 60.00 60.00 60.00
Closest atoms and distances in Å follow each position.
Atoms (fractional coordinates):
Sm (0.0000, 0.0000, 0.0000)  4 Ge 3.02
Ho (0.5000, 0.5000, 0.5000)  4 Ge 3.02
Ge (0.7500, 0.7500, 0.7500)  4 Ho 3.02, 4 Sm 3.02

Summary:
formation energy = -1.59 eV per formula unit
E above lowest polymorph = 6.99 kJ per mole of atoms
magnetic moment = 0.00 μB per cell

# 4
Density functional theory data (PBE-GGA) for MgZn2Ag2 after structural relaxation.

a b c (Å): 4.8468 4.8468 6.2287
angles (deg): 127.29 127.29 50.69
Closest atoms and distances in Å follow each position.
Atoms (fractional coordinates):
Mg (0.0000, 0.0000, 0.0000)  6 Ag 2.80-2.91, 6 Zn 2.91-2.95
Zn (0.1947, 0.1947, 0.6043)  3 Zn 2.72-2.94, 6 Ag 2.79-2.89, 3 Mg 2.91-2.95
Zn (0.8053, 0.8053, 0.3957)  3 Zn 2.72-2.94, 6 Ag 2.79-2.89, 3 Mg 2.91-2.95
Ag (0.4119, 0.4119, 0.2042)  6 Zn 2.79-2.89, 3 Mg 2.80-2.91, 3 Ag 2.89-3.02
Ag (0.5881, 0.5881, 0.7958)  6 Zn 2.79-2.89, 3 Mg 2.80-2.91, 3 Ag 2.89-3.02

Summary:
formation energy = -0.52 eV per formula unit
E above lowest polymorph = 0.00 kJ per mole of atoms
magnetic moment = 0.00 μB per cell

# 5
Density functional theory data (PBE-GGA) for AcPr3Sm3 after structural relaxation.

a b c (Å): 9.9438 9.9438 6.0005
angles (deg): 90.00 90.00 120.00
Closest atoms and distances in Å follow each position.
Atoms (fractional coordinates):
Ac (0.3333, 0.6667, 0.2500)  9 Pr 3.72-3.76, 3 Sm 3.81
Ac (0.6667, 0.3333, 0.7500)  9 Pr 3.72-3.76, 3 Sm 3.81
Pr (0.0939, 0.4700, 0.7500)  5 Sm 3.69-3.84, 3 Ac 3.72-3.76, 4 Pr 3.74-3.81
Pr (0.3761, 0.9061, 0.7500)  5 Sm 3.69-3.84, 3 Ac 3.72-3.76, 4 Pr 3.74-3.81
Pr (0.4700, 0.3761, 0.2500)  5 Sm 3.69-3.84, 3 Ac 3.72-3.76, 4 Pr 3.74-3.81
Pr (0.5300, 0.6239, 0.7500)  5 Sm 3.69-3.84, 3 Ac 3.72-3.76, 4 Pr 3.74-3.81
Pr (0.6239, 0.0939, 0.2500)  5 Sm 3.69-3.84, 3 Ac 3.72-3.76, 4 Pr 3.74-3.81
Pr (0.9061, 0.5300, 0.2500)  5 Sm 3.69-3.84, 3 Ac 3.72-3.76, 4 Pr 3.74-3.81
Sm (0.0438, 0.2316, 0.2500)  6 Sm 3.67, 5 Pr 3.69-3.84, 1 Ac 3.81
Sm (0.1878, 0.9562, 0.2500)  6 Sm 3.67, 5 Pr 3.69-3.84, 1 Ac 3.81
Sm (0.2316, 0.1878, 0.7500)  6 Sm 3.67, 5 Pr 3.69-3.84, 1 Ac 3.81
Sm (0.7684, 0.8122, 0.2500)  6 Sm 3.67, 5 Pr 3.69-3.84, 1 Ac 3.81
Sm (0.8122, 0.0438, 0.7500)  6 Sm 3.67, 5 Pr 3.69-3.84, 1 Ac 3.81
Sm (0.9562, 0.7684, 0.7500)  6 Sm 3.67, 5 Pr 3.69-3.84, 1 Ac 3.81

Summary:
formation energy = 0.28 eV per formula unit
E above lowest polymorph = 1.48 kJ per mole of atoms
magnetic moment = 0.00 μB per cell

# 6
Density functional theory data (PBE-GGA) for K2P3Se after structural relaxation.

a b c (Å): 8.4656 6.3197 14.7241
angles (deg): 90.00 98.15 90.00
Closest atoms and distances in Å follow each position.
Atoms (fractional coordinates):
K (0.0985, 0.0534, 0.3379)  3 P 3.21-3.47, 2 Se 3.29-3.30
K (0.0985, 0.4466, 0.8379)  3 P 3.21-3.47, 2 Se 3.29-3.30
K (0.3841, 0.2369, 0.6143)  2 Se 3.32-3.43, 6 P 3.50-3.72
K (0.3841, 0.2631, 0.1143)  2 Se 3.32-3.43, 6 P 3.50-3.72
K (0.6159, 0.7369, 0.8857)  2 Se 3.32-3.43, 6 P 3.50-3.72
K (0.6159, 0.7631, 0.3857)  2 Se 3.32-3.43, 6 P 3.50-3.72
K (0.9015, 0.5534, 0.1621)  3 P 3.21-3.47, 2 Se 3.29-3.30
K (0.9015, 0.9466, 0.6621)  3 P 3.21-3.47, 2 Se 3.29-3.30
P (0.0327, 0.6314, 0.4546)  3 P 2.20-2.25
P (0.0327, 0.8686, 0.9546)  3 P 2.20-2.25
P (0.2518, 0.0006, 0.9079)  2 P 2.19-2.23, 1 Se 2.31
P (0.2518, 0.4994, 0.4079)  2 P 2.19-2.23, 1 Se 2.31
P (0.2716, 0.7360, 0.5171)  2 P 2.19-2.20
P (0.2716, 0.7640, 0.0171)  2 P 2.19-2.20
P (0.7284, 0.2360, 0.9829)  2 P 2.19-2.20
P (0.7284, 0.2640, 0.4829)  2 P 2.19-2.20
P (0.7482, 0.5006, 0.5921)  2 P 2.19-2.23, 1 Se 2.31
P (0.7482, 0.9994, 0.0921)  2 P 2.19-2.23, 1 Se 2.31
P (0.9673, 0.1314, 0.0454)  3 P 2.20-2.25
P (0.9673, 0.3686, 0.5454)  3 P 2.20-2.25
Se (0.2692, 0.6308, 0.2635)  1 P 2.31
Se (0.2692, 0.8692, 0.7635)  1 P 2.31
Se (0.7308, 0.1308, 0.2365)  1 P 2.31
Se (0.7308, 0.3692, 0.7365)  1 P 2.31

Summary:
uncorrected formation energy = -513 meV per atom
magnetic moment = 0.00 μB per cell

# 7
Density functional theory data (PBE-GGA) for ZrMoIr4 after structural relaxation.

a b c (Å): 5.1854 5.1854 5.1854
angles (deg): 60.00 60.00 60.00
Closest atoms and distances in Å follow each position.
Atoms (fractional coordinates):
Zr (0.0000, 0.0000, 0.0000)  12 Ir 3.04, 4 Mo 3.18
Mo (0.2500, 0.2500, 0.2500)  12 Ir 3.04, 4 Zr 3.18
Ir (0.1260, 0.6247, 0.6247)  6 Ir 2.59-2.60
Ir (0.6247, 0.1260, 0.6247)  6 Ir 2.59-2.60
Ir (0.6247, 0.6247, 0.1260)  6 Ir 2.59-2.60
Ir (0.6247, 0.6247, 0.6247)  6 Ir 2.59-2.60

Summary:
formation energy = -1.18 eV per formula unit
magnetic moment = 0.00 μB per cell

# 8
Density functional theory data (PBE-GGA) for CsTe2N after structural relaxation.

a b c (Å): 9.1638 9.1638 9.1638
angles (deg): 24.57 24.57 24.57
Closest atoms and distances in Å follow each position.
Atoms (fractional coordinates):
Cs (0.0000, 0.0000, 0.0000)  6 Te 3.85, 6 Cs 3.90
Te (0.2162, 0.2162, 0.2162)  3 N 2.61
Te (0.7838, 0.7838, 0.7838)  3 N 2.61
N (0.5000, 0.5000, 0.5000)  6 Te 2.61

Summary:
uncorrected formation energy = 804 meV per atom
E above lowest polymorph = 60.36 kJ per mole of atoms
magnetic moment = 0.00 μB per cell

# 9
Density functional theory data (PBE-GGA) for Y6Er5Sc after structural relaxation.

a b c (Å): 9.3214 9.3214 9.3214
angles (deg): 149.07 115.50 73.24
Closest atoms and distances in Å follow each position.
Atoms (fractional coordinates):
Y (0.0821, 0.3341, 0.7481)  1 Sc 3.50, 7 Er 3.50-3.56, 4 Y 3.51-3.54
Y (0.2462, 0.0000, 0.2462)  6 Er 3.48-3.54, 2 Sc 3.49, 4 Y 3.51
Y (0.4140, 0.6659, 0.7481)  1 Sc 3.50, 7 Er 3.50-3.56, 4 Y 3.51-3.54
Y (0.5860, 0.3341, 0.2519)  1 Sc 3.50, 7 Er 3.50-3.56, 4 Y 3.51-3.54
Y (0.7538, 0.0000, 0.7538)  6 Er 3.48-3.54, 2 Sc 3.49, 4 Y 3.51
Y (0.9179, 0.6659, 0.2519)  1 Sc 3.50, 7 Er 3.50-3.56, 4 Y 3.51-3.54
Er (0.1653, 0.1653, 0.0000)  8 Y 3.48-3.56, 2 Sc 3.51, 2 Er 3.54
Er (0.3341, 0.8341, 0.5000)  4 Er 3.51-3.54, 8 Y 3.52-3.54
Er (0.5000, 0.5000, 0.0000)  4 Er 3.51, 8 Y 3.53-3.54
Er (0.6659, 0.1659, 0.5000)  4 Er 3.51-3.54, 8 Y 3.52-3.54
Er (0.8347, 0.8347, 0.0000)  8 Y 3.48-3.56, 2 Sc 3.51, 2 Er 3.54
Sc (0.0000, 0.5000, 0.5000)  8 Y 3.49-3.50, 4 Er 3.51

Summary:
formation energy = 0.42 eV per formula unit
magnetic moment = 0.00 μB per cell

# 10
Density functional theory data (PBE-GGA) for V3SbC after structural relaxation.

a b c (Å): 6.9433 3.0765 7.1768
angles (deg): 90.00 112.90 90.00
Closest atoms and distances in Å follow each position.
Atoms (fractional coordinates):
V (0.0133, 0.2500, 0.1607)  3 C 2.01-2.03
V (0.3477, 0.7500, 0.4329)  1 C 2.02
V (0.3735, 0.2500, 0.1122)  2 C 2.03
V (0.6265, 0.7500, 0.8878)  2 C 2.03
V (0.6523, 0.2500, 0.5671)  1 C 2.02
V (0.9867, 0.7500, 0.8393)  3 C 2.01-2.03
Sb (0.2569, 0.2500, 0.6990)  7 V 2.71-2.89
Sb (0.7431, 0.7500, 0.3010)  7 V 2.71-2.89
C (0.1897, 0.7500, 0.1300)  6 V 2.01-2.03
C (0.8103, 0.2500, 0.8700)  6 V 2.01-2.03

Summary:
uncorrected formation energy = -256 meV per atom
magnetic moment = 0.00 μB per cell

# 11
Density functional theory data (PBE-GGA) for CoTcSb2Pd after structural relaxation.

a b c (Å): 5.0452 5.0452 4.6116
angles (deg): 90.00 90.00 90.00
Closest atoms and distances in Å follow each position.
Atoms (fractional coordinates):
Co (0.0000, 0.0000, 0.0000)  2 Tc 2.31
Tc (0.0000, 0.0000, 0.5000)  2 Co 2.31, 4 Sb 2.52
Sb (0.0000, 0.5000, 0.5000)  2 Tc 2.52
Sb (0.5000, 0.0000, 0.5000)  2 Tc 2.52
Pd (0.5000, 0.5000, 0.0000)  8 Sb 3.42, 4 Co 3.57

Summary:
uncorrected formation energy = 862 meV per atom
magnetic moment = 2.48 μB per cell

# 12
Density functional theory data (PBE-GGA) for KBI2 after structural relaxation.

a b c (Å): 5.7073 5.7073 5.7073
angles (deg): 60.00 60.00 60.00
Closest atoms and distances in Å follow each position.
Atoms (fractional coordinates):
K (0.0000, 0.0000, 0.0000)  8 I 3.49
B (0.5000, 0.5000, 0.5000)  8 I 3.49
I (0.2500, 0.2500, 0.2500)  4 B 3.49, 4 K 3.49
I (0.7500, 0.7500, 0.7500)  4 B 3.49, 4 K 3.49

Summary:
uncorrected formation energy = 415 meV per atom
E above lowest polymorph = 23.29 kJ per mole of atoms
magnetic moment = 0.00 μB per cell

# 13
Density functional theory data (PBE-GGA) for BaRe2P after structural relaxation.

a b c (Å): 5.9192 5.9192 5.9192
angles (deg): 148.30 118.89 70.49
Closest atoms and distances in Å follow each position.
Atoms (fractional coordinates):
Ba (0.0000, 0.0000, 0.0000)  2 P 3.15, 2 Ba 3.23, 6 Re 3.37-3.43
Re (0.4721, 0.4721, 0.0000)  2 Re 2.42, 2 P 2.46
Re (0.6578, 0.1578, 0.5000)  2 Re 2.42
P (0.2798, 0.7798, 0.5000)  2 Re 2.46

Summary:
formation energy = 3.35 eV per formula unit
magnetic moment = 0.06 μB per cell

# 14
Density functional theory data (PBE-GGA) for Pr2ZnAs4Rh3 after structural relaxation.

a b c (Å): 4.3259 4.3259 10.1782
angles (deg): 90.00 90.00 90.00
Closest atoms and distances in Å follow each position.
Atoms (fractional coordinates):
Pr (0.0000, 0.5000, 0.2423)  8 As 3.28-3.29, 6 Rh 3.31-3.40, 2 Zn 3.40
Pr (0.5000, 0.0000, 0.7577)  8 As 3.28-3.29, 6 Rh 3.31-3.40, 2 Zn 3.40
Zn (0.0000, 0.0000, 0.5000)  4 As 2.59
As (0.0000, 0.0000, 0.0000)  4 Rh 2.48
As (0.0000, 0.5000, 0.6398)  3 Rh 2.46-2.59, 2 Zn 2.59
As (0.5000, 0.0000, 0.3602)  3 Rh 2.46-2.59, 2 Zn 2.59
As (0.5000, 0.5000, 0.0000)  4 Rh 2.48
Rh (0.0000, 0.5000, 0.8811)  5 As 2.46-2.48
Rh (0.5000, 0.0000, 0.1189)  5 As 2.46-2.48
Rh (0.5000, 0.5000, 0.5000)  4 As 2.59

Summary:
formation energy = -8.38 eV per formula unit
magnetic moment = 0.00 μB per cell

# 15
Density functional theory data (PBE-GGA) for Zr2AlNi5 after structural relaxation.

a b c (Å): 6.9582 6.9582 6.9582
angles (deg): 148.37 138.12 53.42
Closest atoms and distances in Å follow each position.
Atoms (fractional coordinates):
Zr (0.2116, 0.2116, 0.0000)  7 Ni 2.63-2.67
Zr (0.7884, 0.7884, 0.0000)  7 Ni 2.63-2.67
Al (0.5000, 0.0000, 0.5000)  10 Ni 2.49-2.59
Ni (0.0000, 0.0000, 0.0000)  2 Al 2.49, 8 Ni 2.57, 2 Zr 2.63
Ni (0.1486, 0.4012, 0.7474)  5 Ni 2.46-2.57, 2 Al 2.59, 3 Zr 2.66-2.67
Ni (0.3462, 0.5988, 0.7474)  5 Ni 2.46-2.57, 2 Al 2.59, 3 Zr 2.66-2.67
Ni (0.6538, 0.4012, 0.2526)  5 Ni 2.46-2.57, 2 Al 2.59, 3 Zr 2.66-2.67
Ni (0.8514, 0.5988, 0.2526)  5 Ni 2.46-2.57, 2 Al 2.59, 3 Zr 2.66-2.67

Summary:
formation energy = -2.95 eV per formula unit
E above lowest polymorph = 7.91 kJ per mole of atoms
magnetic moment = 0.00 μB per cell

# 16
Density functional theory data (PBE-GGA) for TbLuAgGe after structural relaxation.

a b c (Å): 5.0421 5.0421 5.0421
angles (deg): 60.00 60.00 60.00
Closest atoms and distances in Å follow each position.
Atoms (fractional coordinates):
Tb (0.0000, 0.0000, 0.0000)  4 Ag 3.09, 4 Ge 3.09
Lu (0.5000, 0.5000, 0.5000)  4 Ag 3.09, 4 Ge 3.09
Ag (0.7500, 0.7500, 0.7500)  4 Tb 3.09, 4 Lu 3.09
Ge (0.2500, 0.2500, 0.2500)  4 Lu 3.09, 4 Tb 3.09

Summary:
formation energy = -2.03 eV per formula unit
magnetic moment = 0.00 μB per cell

# 17
Density functional theory data (PBE-GGA) for PaTlNiPt after structural relaxation.

a b c (Å): 4.8048 4.8048 4.8048
angles (deg): 60.00 60.00 60.00
Closest atoms and distances in Å follow each position.
Atoms (fractional coordinates):
Pa (0.0000, 0.0000, 0.0000)  4 Ni 2.94, 4 Pt 2.94
Tl (0.5000, 0.5000, 0.5000)  4 Ni 2.94, 4 Pt 2.94
Ni (0.7500, 0.7500, 0.7500)  4 Tl 2.94, 4 Pa 2.94
Pt (0.2500, 0.2500, 0.2500)  4 Tl 2.94, 4 Pa 2.94

Summary:
formation energy = -1.38 eV per formula unit
magnetic moment = 0.00 μB per cell

# 18
Density functional theory data (PBE-GGA) for Th2Cu3Ag after structural relaxation.

a b c (Å): 9.0917 8.5884 5.7013
angles (deg): 76.05 66.46 37.49
Closest atoms and distances in Å follow each position.
Atoms (fractional coordinates):
Th (0.2464, 0.7536, 0.7536)  10 Cu 3.07-3.18, 2 Ag 3.14, 1 Th 3.39
Th (0.2500, 0.2500, 0.2500)  4 Ag 3.14, 8 Cu 3.16-3.17, 2 Th 3.44
Th (0.7500, 0.7500, 0.7500)  4 Ag 3.14, 8 Cu 3.16-3.17, 2 Th 3.44
Th (0.7536, 0.2464, 0.2464)  10 Cu 3.07-3.18, 2 Ag 3.14, 1 Th 3.39
Cu (0.1623, 0.6746, 0.3254)  2 Cu 2.56-2.57, 1 Ag 2.69
Cu (0.1626, 0.1626, 0.8374)  2 Cu 2.56, 1 Ag 2.69
Cu (0.3254, 0.8377, 0.1623)  2 Cu 2.56-2.57, 1 Ag 2.69
Cu (0.6746, 0.1623, 0.8377)  2 Cu 2.56-2.57, 1 Ag 2.69
Cu (0.8374, 0.8374, 0.1626)  2 Cu 2.56, 1 Ag 2.69
Cu (0.8377, 0.3254, 0.6746)  2 Cu 2.56-2.57, 1 Ag 2.69
Ag (0.3337, 0.3337, 0.6663)  3 Cu 2.69
Ag (0.6663, 0.6663, 0.3337)  3 Cu 2.69

Summary:
formation energy = -0.93 eV per formula unit
magnetic moment = 0.00 μB per cell

# 19
Density functional theory data (PBE-GGA) for CoRe3S after structural relaxation.

a b c (Å): 4.4326 4.4326 4.4326
angles (deg): 90.00 90.00 90.00
Closest atoms and distances in Å follow each position.
Atoms (fractional coordinates):
Co (0.0000, 0.0000, 0.0000)  6 Re 2.22
Re (0.0000, 0.0000, 0.5000)  2 Co 2.22
Re (0.0000, 0.5000, 0.0000)  2 Co 2.22
Re (0.5000, 0.0000, 0.0000)  2 Co 2.22
S (0.5000, 0.5000, 0.5000)  12 Re 3.13

Summary:
uncorrected formation energy = 2033 meV per atom
E above lowest polymorph = 82.35 kJ per mole of atoms
magnetic moment = 0.00 μB per cell

# 20
Density functional theory data (PBE-GGA) for RhPb2Cl after structural relaxation.

a b c (Å): 7.3483 7.3483 4.4571
angles (deg): 90.14 90.14 26.30
Closest atoms and distances in Å follow each position.
Atoms (fractional coordinates):
Rh (0.0000, 0.0000, 0.0000)  6 Pb 2.83-2.88
Pb (0.4671, 0.4671, 0.4998)  4 Rh 2.83, 1 Cl 3.02
Pb (0.6641, 0.6641, 0.0011)  2 Rh 2.88, 4 Cl 3.08
Cl (0.2559, 0.2559, 0.5015)  5 Pb 3.02-3.08, 2 Cl 3.34

Summary:
uncorrected formation energy = -203 meV per atom
E above lowest polymorph = 4.05 kJ per mole of atoms
magnetic moment = 0.00 μB per cell